Record 1
Entry from Alexandria via LeMat-Bulk: crystalline MnZn2Pt3 at its relaxed geometry (GGA-PBE).

Unit cell a=2.879 b=2.879 c=10.673 alpha=90.00 beta=90.00 gamma=90.00
Site moments in Bohr magnetons follow the coordinates.
Element x y z (fractional)
Zn (0.500, 0.500, 0.165)  -0.01
Mn (0.500, 0.500, 0.500)  3.79
Pt (0.000, 0.000, 0.332)  0.18
Pt (0.000, 0.000, 0.668)  0.18
Pt (0.000, 0.000, 0.000)  0.02
Zn (0.500, 0.500, 0.835)  -0.01

## Properties
- formation enthalpy at 0 K (eV/atom) = -0.512
- E_tot (eV/cell) = -32.9
- size of the total moment (μB per formula unit) = 4.30

Record 2
Entry from Alexandria via LeMat-Bulk: crystalline BeCuSe2 at its relaxed geometry (GGA-PBE).

Unit cell a=4.529 b=4.529 c=4.529 alpha=60.00 beta=60.00 gamma=60.00
Element x y z (fractional)
Be (0.500, 0.500, 0.500)
Cu (0.750, 0.750, 0.750)
Se (0.000, 0.000, 0.000)
Se (0.250, 0.250, 0.250)

## Properties
- ΔE_f (raw) (eV/atom) = 0.69
- E_tot (eV/cell) = -12.0
- size of the total moment (μB per formula unit) = 0.00

Record 3
Entry from Alexandria via LeMat-Bulk: crystalline Zr5Ga at its relaxed geometry (GGA-PBE).

Unit cell a=4.373 b=4.407 c=7.094 alpha=108.10 beta=90.00 gamma=90.00
Element x y z (fractional)
Ga (0.000, 0.000, 0.000)
Zr (0.500, 0.500, 0.000)
Zr (0.000, 0.662, 0.323)
Zr (0.500, 0.838, 0.675)
Zr (0.500, 0.162, 0.325)
Zr (0.000, 0.338, 0.677)

## Properties
- formation enthalpy at 0 K (eV/atom) = -0.193
- E_tot (eV/cell) = -46.9
- size of the total moment (μB per formula unit) = 0.00

Record 4
Entry from Alexandria via LeMat-Bulk: crystalline Dy2Y6Cd at its relaxed geometry (GGA-PBE).

Unit cell a=3.537 b=10.136 c=9.558 alpha=122.02 beta=100.64 gamma=90.00
Element x y z (fractional)
Dy (0.150, 0.650, 0.300)
Y (0.500, 0.710, 0.000)
Cd (0.000, 0.000, 0.000)
Y (0.179, 0.340, 0.358)
Y (0.821, 0.983, 0.642)
Y (0.821, 0.660, 0.642)
Y (0.500, 0.290, 0.000)
Dy (0.850, 0.350, 0.700)
Y (0.179, 0.017, 0.358)

## Properties
- formation enthalpy at 0 K (eV/atom) = 0.033
- E_tot (eV/cell) = -48.6
- size of the total moment (μB per formula unit) = 0.00

Record 5
Entry from Alexandria via LeMat-Bulk: crystalline CeHgIO at its relaxed geometry (GGA-PBE).

Unit cell a=4.142 b=4.142 c=13.448 alpha=90.00 beta=90.00 gamma=90.00
Site moments in Bohr magnetons follow the coordinates.
Element x y z (fractional)
Hg (0.750, 0.250, 0.500)  0.00
O (0.250, 0.750, 0.000)  -0.03
Hg (0.250, 0.750, 0.500)  0.00
Ce (0.750, 0.750, 0.914)  0.98
I (0.750, 0.750, 0.229)  -0.01
I (0.250, 0.250, 0.771)  -0.01
Ce (0.250, 0.250, 0.086)  0.98
O (0.750, 0.250, 0.000)  -0.03

## Properties
- ΔE_f (raw) (eV/atom) = -1.92
- E_tot (eV/cell) = -40.8
- size of the total moment (μB per formula unit) = 1.06

Record 6
Entry from Alexandria via LeMat-Bulk: crystalline Nd6Sn2Pt at its relaxed geometry (GGA-PBE).

Unit cell a=6.391 b=8.637 c=10.423 alpha=90.00 beta=90.14 gamma=90.00
Element x y z (fractional)
Nd (0.112, 0.029, 0.762)
Nd (0.612, 0.471, 0.262)
Sn (0.085, 0.617, 0.253)
Nd (0.888, 0.971, 0.238)
Nd (0.631, 0.177, 0.949)
Nd (0.369, 0.823, 0.051)
Nd (0.388, 0.529, 0.738)
Nd (0.869, 0.677, 0.551)
Pt (0.000, 0.000, 0.500)
Nd (0.121, 0.324, 0.051)
Sn (0.415, 0.117, 0.247)
Sn (0.585, 0.883, 0.753)
Sn (0.915, 0.383, 0.747)
Pt (0.500, 0.500, 0.000)
Nd (0.879, 0.676, 0.949)
Nd (0.621, 0.176, 0.551)
Nd (0.131, 0.323, 0.449)
Nd (0.379, 0.824, 0.449)

## Properties
- formation enthalpy at 0 K (eV/atom) = -0.571
- E_tot (eV/cell) = -95.6
- size of the total moment (μB per formula unit) = 0.00

Record 7
Entry from Alexandria via LeMat-Bulk: crystalline Dy4BiTeSe2 at its relaxed geometry (GGA-PBE).

Unit cell a=4.226 b=7.432 c=7.302 alpha=70.87 beta=90.00 gamma=90.00
Element x y z (fractional)
Bi (0.500, 0.500, 0.000)
Dy (0.500, 0.781, 0.237)
Se (0.000, 0.000, 0.000)
Se (0.500, 0.000, 0.500)
Dy (0.000, 0.779, 0.742)
Dy (0.000, 0.221, 0.258)
Dy (0.500, 0.219, 0.763)
Te (0.000, 0.500, 0.500)

## Properties
- ΔE_f (raw) (eV/atom) = -1.41
- E_tot (eV/cell) = -43.7
- size of the total moment (μB per formula unit) = 0.00

Record 8
Entry from Alexandria via LeMat-Bulk: crystalline HfHg2NCl at its relaxed geometry (GGA-PBE).

Unit cell a=5.740 b=3.375 c=5.740 alpha=90.00 beta=90.00 gamma=90.00
Site moments in Bohr magnetons follow the coordinates.
Element x y z (fractional)
Hg (0.000, 0.000, 0.500)  0.01
Cl (0.000, 0.000, 0.000)  0.10
Hf (0.500, 0.500, 0.500)  0.11
Hg (0.500, 0.000, 0.000)  0.00
N (0.000, 0.500, 0.000)  0.32

## Properties
- ΔE_f (raw) (eV/atom) = 1.28
- E_tot (eV/cell) = -14.3
- size of the total moment (μB per formula unit) = 0.77